Below is Pr2Zn3Pd4Au after structural relaxation, with properties calculated at the PBE-GGA level.

abc: 4.166 4.166 11.377
angles: 90.00 90.00 90.00
Sites, in units of the cell vectors:
Pr  0.500  0.000  0.247
Pr  0.000  0.500  0.753
Zn  0.500  0.000  0.872
Zn  0.000  0.500  0.128
Zn  0.000  0.000  0.500
Pd  0.500  0.500  0.000
Pd  0.000  0.000  0.000
Pd  0.500  0.000  0.654
Pd  0.000  0.500  0.346
Au  0.500  0.500  0.500

## Properties
The total energy is -4.348 eV/atom. The space group is P-4m2 (115).